Record 1
DFT (GGA-PBE) results for crystalline MgURe at its relaxed geometry.

Unit cell a=4.5467 b=4.5467 c=4.5467 alpha=60.00 beta=60.00 gamma=60.00
Element x y z (fractional)
Mg 0.0000 0.0000 0.0000
U 0.5000 0.5000 0.5000
Re 0.7500 0.7500 0.7500

Output
- E above lowest polymorph (meV/atom) = 0.0

Record 2
DFT (GGA-PBE) results for crystalline MgURe at its relaxed geometry.

Unit cell a=4.5850 b=4.5850 c=4.5850 alpha=60.00 beta=60.00 gamma=60.00
Element x y z (fractional)
Mg 0.0000 0.0000 0.0000
U 0.7500 0.7500 0.7500
Re 0.5000 0.5000 0.5000

Output
- E above lowest polymorph (meV/atom) = 700.6